Entry 1:
ZrZn4Ni2 | GGA-PBE | optimized geometry

Lattice parameters (Å, degrees): 4.121 7.056 7.056 90.00 90.00 90.00
Fractional positions:
Zn: 0.500 0.404 0.846
Zn: 0.000 0.346 0.096
Zn: 0.000 0.904 0.654
Zn: 0.500 0.846 0.404
Zn: 0.500 0.154 0.596
Zn: 0.500 0.596 0.154
Zn: 0.000 0.654 0.904
Zn: 0.000 0.096 0.346
Zr: 0.000 0.500 0.500
Zr: 0.500 0.000 0.000
Ni: 0.500 0.726 0.726
Ni: 0.000 0.226 0.774
Ni: 0.500 0.274 0.274
Ni: 0.000 0.774 0.226

**Formation enthalpy at 0 K**: -222 meV/atom
**SG**: No. 136
**Crystal system**: tetragonal
**ρ**: 7.61 g/cm3

Entry 2:
Zr2ZnNi | GGA-PBE | optimized geometry

Lattice parameters (Å, degrees): 7.388 7.388 5.914 51.35 51.35 90.00
Fractional positions:
Zn: 0.000 0.000 0.000
Zn: 0.750 0.250 0.500
Ni: 0.250 0.750 0.500
Ni: 0.500 0.500 0.000
Zr: 0.375 0.417 0.750
Zr: 0.875 0.833 0.750
Zr: 0.167 0.625 0.250
Zr: 0.583 0.125 0.250

**Formation enthalpy at 0 K**: 56 meV/atom
**SG**: No. 122
**Crystal system**: tetragonal
**ρ**: 6.73 g/cm3

Entry 3:
ZrZn5Ni | GGA-PBE | optimized geometry

Lattice parameters (Å, degrees): 4.212 4.212 6.381 90.00 90.00 90.00
Fractional positions:
Ni: 0.000 0.000 0.500
Zn: 0.500 0.500 0.000
Zn: 0.000 0.500 0.297
Zn: 0.500 0.000 0.703
Zn: 0.000 0.500 0.703
Zn: 0.500 0.000 0.297
Zr: 0.000 0.000 0.000

**Formation enthalpy at 0 K**: -225 meV/atom
**SG**: No. 123
**Crystal system**: tetragonal
**ρ**: 7.00 g/cm3

Entry 4:
ZrZn6Ni6 | GGA-PBE | optimized geometry

Lattice parameters (Å, degrees): 4.904 6.421 6.421 80.07 67.55 67.55
Fractional positions:
Ni: 0.500 0.774 0.226
Ni: 0.000 0.000 0.500
Ni: 0.500 0.500 0.000
Ni: 0.000 0.500 0.000
Ni: 0.500 0.226 0.774
Ni: 0.500 0.000 0.500
Zn: 0.000 0.660 0.340
Zn: 0.348 0.652 0.652
Zn: 0.000 0.340 0.660
Zn: 0.652 0.348 0.348
Zn: 0.303 0.197 0.197
Zn: 0.697 0.803 0.803
Zr: 0.000 0.000 0.000

**Formation enthalpy at 0 K**: -254 meV/atom
**SG**: No. 71
**Crystal system**: orthorhombic
**ρ**: 8.04 g/cm3

Entry 5:
ZrZnNi2 | GGA-PBE | optimized geometry

Lattice parameters (Å, degrees): 4.251 4.252 3.219 90.00 90.00 90.00
Fractional positions:
Ni: 0.500 0.500 0.000
Ni: 0.000 0.000 0.000
Zr: 0.000 0.500 0.500
Zn: 0.500 0.000 0.500

**Formation enthalpy at 0 K**: -243 meV/atom
**SG**: No. 123
**Crystal system**: tetragonal
**ρ**: 7.82 g/cm3

Entry 6:
Zr4Zn3Ni | GGA-PBE | optimized geometry

Lattice parameters (Å, degrees): 3.296 3.296 13.376 90.00 90.00 90.00
Fractional positions:
Zr: 0.000 0.000 0.117
Zr: 0.000 0.000 0.883
Zr: 0.000 0.000 0.372
Zr: 0.000 0.000 0.628
Zn: 0.500 0.500 0.500
Zn: 0.500 0.500 0.245
Zn: 0.500 0.500 0.755
Ni: 0.500 0.500 0.000

**Formation enthalpy at 0 K**: -279 meV/atom
**SG**: No. 123
**Crystal system**: tetragonal
**ρ**: 7.08 g/cm3

Entry 7:
Zr2ZnNi | GGA-PBE | optimized geometry

Lattice parameters (Å, degrees): 4.176 4.176 5.543 67.89 67.88 59.99
Fractional positions:
Ni: 0.486 0.248 0.780
Zr: 0.703 0.466 0.129
Zr: 0.897 0.660 0.545
Zn: 0.125 0.888 0.863

**Formation enthalpy at 0 K**: -113 meV/atom
**SG**: No. 160
**Crystal system**: trigonal
**ρ**: 6.75 g/cm3

Entry 8:
ZrZn2Ni | GGA-PBE | optimized geometry

Lattice parameters (Å, degrees): 5.409 5.409 2.721 80.63 80.63 121.51
Fractional positions:
Zn: 0.000 0.500 0.000
Zn: 0.500 0.000 0.000
Zr: 0.000 0.000 0.500
Ni: 0.500 0.500 0.500

**Formation enthalpy at 0 K**: 3 meV/atom
**SG**: No. 12
**Crystal system**: monoclinic
**ρ**: 7.28 g/cm3

Taking the records one at a time from the top gives size of the total moment values of 0.0, 0.0, 0.0, 0.0, 0.0, 0.1, 0.0, 0.0 μB/f.u..